Entry 1:
Material: SmGa3CoPt
Method: DFT, PBE
State: optimized geometry

Computed properties:
The density is 8.5 g cm⁻³. The spin magnetization is 0.0 μB per formula unit. As for the calculated total energy: -117.31 eV for the cell shown.

Lattice parameters (Å, degrees): 7.7164 10.7275 5.7758 90.00 90.00 90.00
Closest atoms and distances in Å follow each position.
Space group Cmcm (No. 63)
Unique sites:
Sm: 0.0000 0.2456 0.2500 [4 per cell]  2 Ga 2.91, 1 Co 2.93, 1 Pt 3.19
Ga: 0.0000 0.2750 0.7500 [4 per cell]  1 Co 2.21, 1 Pt 2.39
Ga: 0.2395 0.5000 0.0000 [8 per cell]  2 Co 2.35, 2 Pt 2.54
Co: 0.0000 0.4811 0.7500 [4 per cell]  5 Ga 2.21-2.35
Pt: 0.0000 0.0517 0.7500 [4 per cell]  5 Ga 2.39-2.54

Entry 2:
Material: LiEuGeAu
Method: DFT, PBE
State: optimized geometry

Computed properties:
The density is 9.0 g cm⁻³. The spin magnetization is 7.0 μB per formula unit. As for the calculated total energy: -88.18 eV for the cell shown.

Lattice parameters (Å, degrees): 6.8200 6.8200 6.8200 90.00 90.00 90.00
Closest atoms and distances in Å follow each position.
Space group F-43m (No. 216)
Unique sites:
Li: 0.0000 0.0000 0.0000 [4 per cell]  4 Au 2.95, 4 Eu 2.95
Eu: 0.2500 0.2500 0.7500 [4 per cell]  4 Ge 2.95, 4 Li 2.95
Ge: 0.0000 0.0000 0.5000 [4 per cell]  4 Eu 2.95, 4 Au 2.95
Au: 0.2500 0.2500 0.2500 [4 per cell]  4 Ge 2.95, 4 Li 2.95

Entry 3:
Material: ZrSi2Ir4
Method: DFT, PBE
State: optimized geometry

Computed properties:
The density is 10.8 g cm⁻³. The spin magnetization is 0.0 μB per formula unit. The excess energy over the best structure of this formula in the dataset is 1762 meV/atom. The calculation puts the formation energy without anion corrections at 694 kJ/mol of formula units.

Lattice parameters (Å, degrees): 4.8187 4.8187 12.1327 90.00 90.00 90.00
Closest atoms and distances in Å follow each position.
Space group I4/mmm (No. 139)
Unique sites:
Zr: 0.0000 0.0000 0.0000 [2 per cell]  6 Ir 2.41-2.65
Si: 0.0000 0.0000 0.4024 [4 per cell]  1 Ir 2.24, 1 Si 2.37
Ir: 0.0000 0.0000 0.2181 [4 per cell]  1 Si 2.24
Ir: 0.0000 0.5000 0.0000 [4 per cell]  2 Zr 2.41, 4 Si 2.68

Entry 4:
Material: TbLuIr
Method: DFT, PBE
State: optimized geometry

Computed properties:
The density is 11.8 g cm⁻³. The spin magnetization is 0.0 μB per formula unit. The excess energy over the best structure of this formula in the dataset is 125 meV/atom.

Lattice parameters (Å, degrees): 3.4380 3.4380 12.5633 90.00 90.00 90.00
Closest atoms and distances in Å follow each position.
Space group I4mm (No. 107)
Unique sites:
Tb: 0.0000 0.0000 0.0000 [2 per cell]  4 Ir 2.96, 1 Lu 3.24
Lu: 0.0000 0.0000 0.2578 [2 per cell]  4 Ir 2.89
Ir: 0.0000 0.0000 0.6339 [2 per cell]  4 Lu 2.89, 4 Tb 2.96